# SCAN LaTlRe2, PBEsol geometry
data_LaTlRe2
_chemical_formula_sum 'La1 Tl1 Re2'
_cell_length_a 2.968
_cell_length_b 2.968
_cell_length_c 9.463
_cell_angle_alpha 90.00
_cell_angle_beta 90.00
_cell_angle_gamma 114.94
_space_group_name_H-M_alt 'P 1'
_space_group_IT_number 1
loop_
_space_group_symop_operation_xyz
'x,y,z'
loop_
_atom_site_label
_atom_site_type_symbol
_atom_site_fract_x
_atom_site_fract_y
_atom_site_fract_z
_atom_site_occupancy
Re1 Re 0.000 0.000 0.254 1
Tl1 Tl 0.500 0.500 0.500 1
La1 La 0.500 0.500 0.000 1
Re2 Re 0.000 0.000 0.746 1
# * E_tot: -253.39 eV/cell



# SCAN ZnPbCl2, PBEsol geometry
data_ZnPbCl2
_chemical_formula_sum 'Zn1 Pb1 Cl2'
_cell_length_a 3.866
_cell_length_b 3.866
_cell_length_c 8.454
_cell_angle_alpha 76.78
_cell_angle_beta 76.78
_cell_angle_gamma 60.00
_space_group_name_H-M_alt 'P 1'
_space_group_IT_number 1
loop_
_space_group_symop_operation_xyz
'x,y,z'
loop_
_atom_site_label
_atom_site_type_symbol
_atom_site_fract_x
_atom_site_fract_y
_atom_site_fract_z
_atom_site_occupancy
Pb1 Pb 0.505 0.505 0.484 1
Zn1 Zn 0.256 0.256 0.231 1
Cl1 Cl 0.971 0.971 0.086 1
Cl2 Cl 0.767 0.767 0.699 1
# * uncorrected formation energy: -674 meV/atom
# * E_tot: -107.95 eV/cell



| no. | distance to the lowest polymorph of the same formula (meV/atom) |
| --- | --- |
| 1 | 140 |
| 2 | 0 |